DFT (meta-GGA SCAN) results for a PBEsol-optimized structure of NiAgP2.

Cell and atoms, written as POSCAR:
```
NiAgP2
1.0
3.979 0.000 0.000
0.000 3.979 0.000
0.000 0.000 3.492
Ni Ag P
1 1 2
direct
0.000 0.000 0.000 Ni
0.500 0.500 0.000 Ag
0.000 0.500 0.500 P
0.500 0.000 0.500 P
```

## Properties
Volume   55 Å³/cell
Distance to the lowest polymorph of the same formula   0.01 eV/f.u.
DOS at the Fermi energy   1.321 states/eV/cell
Formation energy from the elements   449.0 meV/atom
Symmetry   P4/mmm, No. 123